[1]
! PBE LiFeBiW, optimized geometry; values from VASP
&SYSTEM
  ibrav = 0, nat = 4, ntyp = 4
/
ATOMIC_SPECIES
Li 6.94 Li.upf
Fe 55.84 Fe.upf
Bi 208.98 Bi.upf
W 183.84 W.upf
CELL_PARAMETERS angstrom
0.000 3.130 3.130
3.130 0.000 3.130
3.130 3.130 0.000
ATOMIC_POSITIONS angstrom
Li 0.000 0.000 0.000
Fe 3.130 3.130 3.130
Bi 1.565 1.565 1.565
W 4.694 4.694 4.694
! polymorph energy (0 for the lowest one) = 0.00 eV/f.u.
! calculated total energy = -6.18 eV/atom
! symmetry = F-43m, No. 216
! volume = 61 Å³/cell

[2]
! PBE PrMgTc, optimized geometry; values from VASP
&SYSTEM
  ibrav = 0, nat = 3, ntyp = 3
/
ATOMIC_SPECIES
Pr 140.91 Pr.upf
Mg 24.30 Mg.upf
Tc 98.00 Tc.upf
CELL_PARAMETERS angstrom
0.000 3.402 3.402
3.402 0.000 3.402
3.402 3.402 0.000
ATOMIC_POSITIONS angstrom
Pr 0.000 0.000 0.000
Mg 5.102 5.102 5.102
Tc 1.701 1.701 1.701
! calculated total energy = -4.34 eV/atom
! symmetry = F-43m, No. 216
! volume = 79 Å³/cell

[3]
! PBE BaCd2Ag3, optimized geometry; values from VASP
&SYSTEM
  ibrav = 0, nat = 12, ntyp = 3
/
ATOMIC_SPECIES
Ba 137.33 Ba.upf
Cd 112.41 Cd.upf
Ag 107.87 Ag.upf
CELL_PARAMETERS angstrom
5.593 -4.749 0.000
5.593 4.749 0.000
0.000 0.000 5.830
ATOMIC_POSITIONS angstrom
Ba 5.593 2.899 4.373
Ba 5.593 -2.899 1.458
Cd 3.123 0.000 0.000
Cd 3.123 0.000 2.915
Cd 8.063 0.000 0.000
Cd 8.063 0.000 2.915
Ag 3.507 2.537 1.458
Ag 7.679 2.537 1.458
Ag 5.593 0.624 1.458
Ag 5.593 -0.624 4.373
Ag 3.507 -2.537 4.373
Ag 7.679 -2.537 4.373
! calculated total energy = -2.25 eV/atom
! symmetry = Cmcm, No. 63
! volume = 310 Å³/cell

[4]
! PBE Er2LuIn3AgPd2, optimized geometry; values from VASP
&SYSTEM
  ibrav = 0, nat = 9, ntyp = 5
/
ATOMIC_SPECIES
Er 167.26 Er.upf
Lu 174.97 Lu.upf
In 114.82 In.upf
Ag 107.87 Ag.upf
Pd 106.42 Pd.upf
CELL_PARAMETERS angstrom
3.727 0.000 0.000
0.000 6.748 3.907
0.000 -6.748 3.907
ATOMIC_POSITIONS angstrom
Er 0.000 -3.989 3.907
Er 0.000 3.989 3.907
Lu 0.000 0.000 4.795
In 1.863 -1.816 2.654
In 1.863 1.816 2.654
In 1.863 0.000 7.298
Ag 0.000 0.000 1.602
Pd 1.863 -2.234 5.500
Pd 1.863 2.234 5.500
! calculated total energy = -4.57 eV/atom
! symmetry = Amm2, No. 38
! volume = 197 Å³/cell

[5]
! PBE ErInCu, optimized geometry; values from VASP
&SYSTEM
  ibrav = 0, nat = 9, ntyp = 3
/
ATOMIC_SPECIES
Er 167.26 Er.upf
In 114.82 In.upf
Cu 63.55 Cu.upf
CELL_PARAMETERS angstrom
8.368 0.000 0.000
-4.184 7.247 0.000
0.000 0.000 3.270
ATOMIC_POSITIONS angstrom
Er -1.256 2.175 0.000
Er 2.512 0.000 0.000
Er 2.928 5.071 0.000
In 0.000 0.000 1.635
In 0.000 4.831 0.000
In 4.184 2.416 0.000
Cu -2.674 4.632 1.635
Cu 1.510 2.615 1.635
Cu 5.348 0.000 1.635
! calculated total energy = -3.66 eV/atom
! symmetry = P-62m, No. 189
! volume = 198 Å³/cell

[6]
! PBE Mg2Ir, optimized geometry; values from VASP
&SYSTEM
  ibrav = 0, nat = 12, ntyp = 2
/
ATOMIC_SPECIES
Mg 24.30 Mg.upf
Ir 192.22 Ir.upf
CELL_PARAMETERS angstrom
4.701 0.000 0.000
0.000 8.760 0.000
0.000 0.000 4.905
ATOMIC_POSITIONS angstrom
Mg 1.175 0.561 0.562
Mg 1.175 2.190 2.788
Mg 1.175 3.819 0.562
Mg 1.175 6.570 0.417
Mg 3.526 2.190 4.487
Mg 3.526 4.941 4.343
Mg 3.526 6.570 2.117
Mg 3.526 8.199 4.343
Ir 1.175 5.171 2.987
Ir 1.175 7.969 2.987
Ir 3.526 0.791 1.918
Ir 3.526 3.589 1.918
! calculated total energy = -4.15 eV/atom
! symmetry = Pmmn, No. 59
! volume = 202 Å³/cell

[7]
! PBE Tb5ZnIn4, optimized geometry; values from VASP
&SYSTEM
  ibrav = 0, nat = 10, ntyp = 3
/
ATOMIC_SPECIES
Tb 158.93 Tb.upf
Zn 65.41 Zn.upf
In 114.82 In.upf
CELL_PARAMETERS angstrom
3.620 0.000 0.000
0.000 3.620 0.000
0.000 0.000 19.874
ATOMIC_POSITIONS angstrom
Tb 0.000 0.000 0.000
Tb 0.000 0.000 4.115
Tb 0.000 0.000 8.206
Tb 0.000 0.000 11.669
Tb 0.000 0.000 15.760
Zn 1.810 1.810 9.937
In 1.810 1.810 2.064
In 1.810 1.810 6.178
In 1.810 1.810 13.696
In 1.810 1.810 17.811
! calculated total energy = -3.99 eV/atom
! symmetry = P4/mmm, No. 123
! volume = 260 Å³/cell

[8]
! PBE SmTlZnSe3, optimized geometry; values from VASP
&SYSTEM
  ibrav = 0, nat = 24, ntyp = 4
/
ATOMIC_SPECIES
Sm 150.36 Sm.upf
Tl 204.38 Tl.upf
Zn 65.41 Zn.upf
Se 78.96 Se.upf
CELL_PARAMETERS angstrom
8.763 0.000 0.000
0.000 4.383 0.000
0.000 0.000 16.415
ATOMIC_POSITIONS angstrom
Sm 2.143 1.096 0.773
Sm 2.238 3.287 8.981
Sm 6.525 1.096 7.435
Sm 6.620 3.287 15.643
Tl 0.596 3.287 4.766
Tl 3.786 1.096 12.974
Tl 4.977 3.287 3.442
Tl 8.168 1.096 11.649
Zn 1.244 3.287 14.138
Zn 3.138 1.096 5.930
Zn 5.625 3.287 10.485
Zn 7.520 1.096 2.278
Se 0.043 1.096 14.932
Se 1.148 1.096 7.427
Se 1.731 3.287 11.743
Se 2.651 1.096 3.536
Se 3.234 3.287 15.634
Se 4.339 3.287 6.724
Se 4.425 1.096 9.691
Se 5.530 1.096 0.781
Se 6.112 3.287 12.880
Se 7.033 1.096 4.672
Se 7.616 3.287 8.989
Se 8.720 3.287 1.483
! polymorph energy (0 for the lowest one) = 0.65 eV/f.u.
! calculated total energy = -4.16 eV/atom
! symmetry = Pnma, No. 62
! volume = 631 Å³/cell

[9]
! PBE Sr2LuSn, optimized geometry; values from VASP
&SYSTEM
  ibrav = 0, nat = 4, ntyp = 3
/
ATOMIC_SPECIES
Sr 87.62 Sr.upf
Lu 174.97 Lu.upf
Sn 118.71 Sn.upf
CELL_PARAMETERS angstrom
0.000 3.134 3.134
3.134 0.000 3.134
3.134 3.134 0.000
ATOMIC_POSITIONS angstrom
Sr 0.000 0.000 0.000
Sr 1.567 1.567 1.567
Lu 4.701 4.701 4.701
Sn 3.134 3.134 3.134
! calculated total energy = -0.04 eV/atom
! symmetry = F-43m, No. 216
! volume = 62 Å³/cell

[10]
! PBE Zr4CdOs, optimized geometry; values from VASP
&SYSTEM
  ibrav = 0, nat = 6, ntyp = 3
/
ATOMIC_SPECIES
Zr 91.22 Zr.upf
Cd 112.41 Cd.upf
Os 190.23 Os.upf
CELL_PARAMETERS angstrom
4.972 -4.983 0.000
4.972 4.983 0.000
0.000 0.000 3.139
ATOMIC_POSITIONS angstrom
Zr 4.972 2.552 0.000
Zr 2.841 0.000 1.570
Zr 7.102 0.000 1.570
Zr 4.972 -2.552 0.000
Cd 0.000 0.000 1.570
Os 4.972 0.000 0.000
! calculated total energy = -7.29 eV/atom
! ΔH_f (0 K) = 0.43 eV per atom
! symmetry = Cmmm, No. 65
! volume = 156 Å³/cell

[11]
! PBE Tm2Ge2O7, optimized geometry; values from VASP
&SYSTEM
  ibrav = 0, nat = 44, ntyp = 3
/
ATOMIC_SPECIES
Tm 168.93 Tm.upf
Ge 72.64 Ge.upf
O 16.00 O.upf
CELL_PARAMETERS angstrom
6.734 0.000 0.000
0.000 6.734 0.000
0.000 0.000 12.253
ATOMIC_POSITIONS angstrom
Tm 0.855 2.390 1.395
Tm 0.977 4.222 4.458
Tm 2.390 0.855 10.857
Tm 2.513 5.757 1.668
Tm 4.222 0.977 7.794
Tm 4.344 5.880 4.731
Tm 5.757 2.513 10.585
Tm 5.880 4.344 7.522
Ge 0.686 1.018 7.742
Ge 1.018 0.686 4.511
Ge 2.349 4.054 10.805
Ge 2.681 4.385 7.574
Ge 4.054 2.349 1.447
Ge 4.385 2.681 4.679
Ge 5.716 6.048 10.637
Ge 6.048 5.716 1.616
O 0.238 0.528 10.683
O 0.444 4.451 2.199
O 0.528 0.238 1.570
O 0.974 2.169 3.590
O 1.084 2.923 11.388
O 1.199 4.341 6.653
O 1.351 1.351 6.126
O 2.016 4.718 9.189
O 2.169 0.974 8.662
O 2.283 6.291 3.928
O 2.393 5.536 11.726
O 2.840 3.605 1.493
O 2.923 1.084 0.864
O 3.129 3.895 4.633
O 3.605 2.840 10.759
O 3.811 5.650 6.991
O 3.895 3.129 7.620
O 4.341 1.199 5.599
O 4.451 0.444 10.054
O 4.566 5.760 2.536
O 4.718 2.016 3.063
O 5.383 5.383 0.000
O 5.536 2.393 0.527
O 5.650 3.811 5.262
O 5.760 4.566 9.716
O 6.207 6.496 7.696
O 6.291 2.283 8.325
O 6.496 6.207 4.556
! calculated total energy = -7.45 eV/atom
! symmetry = P4_12_12, No. 92
! volume = 556 Å³/cell

[12]
! PBE Y2HoCo8Ni, optimized geometry; values from VASP
&SYSTEM
  ibrav = 0, nat = 12, ntyp = 4
/
ATOMIC_SPECIES
Y 88.91 Y.upf
Ho 164.93 Ho.upf
Co 58.93 Co.upf
Ni 58.69 Ni.upf
CELL_PARAMETERS angstrom
2.460 1.420 8.187
-2.460 1.420 8.187
0.000 -2.841 8.187
ATOMIC_POSITIONS angstrom
Y 0.000 0.000 3.424
Y 0.000 0.000 21.137
Ho 0.000 0.000 0.000
Co -1.230 -0.710 10.158
Co 0.000 0.000 8.191
Co 0.000 -1.420 14.403
Co -1.230 0.710 14.403
Co 1.230 -0.710 10.158
Co 0.000 1.420 10.158
Co 0.000 0.000 16.370
Co 1.230 0.710 14.403
Ni 0.000 0.000 12.281
! calculated total energy = -6.85 eV/atom
! ΔH_f (0 K) = -0.19 eV per atom
! symmetry = R-3m, No. 166
! volume = 172 Å³/cell

What did the twelfth record say?
! PBE Y2HoCo8Ni, optimized geometry; values from VASP
&SYSTEM
  ibrav = 0, nat = 12, ntyp = 4
/
ATOMIC_SPECIES
Y 88.91 Y.upf
Ho 164.93 Ho.upf
Co 58.93 Co.upf
Ni 58.69 Ni.upf
CELL_PARAMETERS angstrom
2.460 1.420 8.187
-2.460 1.420 8.187
0.000 -2.841 8.187
ATOMIC_POSITIONS angstrom
Y 0.000 0.000 3.424
Y 0.000 0.000 21.137
Ho 0.000 0.000 0.000
Co -1.230 -0.710 10.158
Co 0.000 0.000 8.191
Co 0.000 -1.420 14.403
Co -1.230 0.710 14.403
Co 1.230 -0.710 10.158
Co 0.000 1.420 10.158
Co 0.000 0.000 16.370
Co 1.230 0.710 14.403
Ni 0.000 0.000 12.281
! calculated total energy = -6.85 eV/atom
! ΔH_f (0 K) = -0.19 eV per atom
! symmetry = R-3m, No. 166
! volume = 172 Å³/cell